Here is a relaxed CsCaH2CF crystal from Alexandria via LeMat-Bulk. Energies are from PBE.

Energy = -3.8341 eV/atom
Magnetic moment = 0.000 μB/f.u.
Space group = No. 1

Lattice parameters (Å, degrees): 3.928 4.236 7.562 98.98 97.83 107.97
Element x y z (fractional)
Cs  0.156  0.661  0.448
H  0.782  0.285  0.682
C  0.683  0.449  0.779
H  0.421  0.110  0.171
F  0.321  0.130  0.795
Ca  0.830  0.025  0.956